Density functional theory data (meta-GGA SCAN) for a PBEsol-optimized structure of CuAsRh2.

The structure in POSCAR format:
```
CuAsRh2
1.0
2.836 0.000 0.000
0.000 4.008 0.000
-1.432 0.000 4.705
Cu As Rh
1 1 2
direct
0.000 0.000 0.000
0.846 0.500 0.696
0.262 0.000 0.528
0.587 0.500 0.172
```

Output
Energy: -103.43 eV/f.u.
Fermi-level density of states: 0.820 states/eV/atom
ΔE_f: -0.1246 eV/atom

Density functional theory data (meta-GGA SCAN) for a PBEsol-optimized structure of ZrFePb2.

The structure in POSCAR format:
```
ZrFePb2
1.0
3.270 0.000 0.000
0.000 3.270 0.000
0.000 0.000 8.323
Zr Fe Pb
1 1 2
direct
0.000 0.000 0.000
0.500 0.500 0.149
0.000 0.000 0.374
0.500 0.500 0.725
```

Output
Energy: -200.18 eV/f.u.
Energy above the lowest structure with this stoichiometry: 0.000 eV per atom
Fermi-level density of states: 0.654 states/eV/atom
ΔE_f: 0.0529 eV/atom